This record from the Alexandria database describes a relaxed structure of Sr3CdPd. The functional is PBEsol.

Computed properties:
As for the crystal system: cubic. The space group is Pm-3m. As for the energy of formation from the pure elements: -0.228 eV/atom.

Cell: 5.785 5.785 5.785 Å, 90.00 90.00 90.00°
Element x y z (fractional)
Sr (0.000, 0.000, 0.500)
Sr (0.000, 0.500, 0.000)
Sr (0.500, 0.000, 0.000)
Cd (0.500, 0.500, 0.500)
Pd (0.000, 0.000, 0.000)

=====

This record from the Alexandria database describes a relaxed structure of ScCrC2. The functional is PBEsol.

Computed properties:
As for the crystal system: hexagonal. The space group is P6_3/mmc. As for the energy of formation from the pure elements: -0.432 eV/atom.

Cell: 3.221 3.221 8.950 Å, 90.00 90.00 120.00°
Element x y z (fractional)
Sc (0.000, 0.000, 0.000)
Sc (0.000, 0.000, 0.500)
Cr (0.333, 0.667, 0.250)
Cr (0.667, 0.333, 0.750)
C (0.333, 0.667, 0.665)
C (0.333, 0.667, 0.835)
C (0.667, 0.333, 0.165)
C (0.667, 0.333, 0.335)

=====

This record from the Alexandria database describes a relaxed structure of KTl2In2. The functional is PBEsol.

Computed properties:
Its offset from the most stable computed form is 0 meV per atom. As for the crystal system: tetragonal. The space group is I4/mmm. As for the energy of formation from the pure elements: -0.074 eV/atom.

Cell: 4.811 4.811 13.180 Å, 90.00 90.00 90.00°
Element x y z (fractional)
K (0.000, 0.000, 0.000)
K (0.500, 0.500, 0.500)
Tl (0.000, 0.000, 0.388)
Tl (0.000, 0.000, 0.612)
Tl (0.500, 0.500, 0.112)
Tl (0.500, 0.500, 0.888)
In (0.000, 0.500, 0.250)
In (0.000, 0.500, 0.750)
In (0.500, 0.000, 0.250)
In (0.500, 0.000, 0.750)

=====

This record from the Alexandria database describes a relaxed structure of NaTaO3. The functional is PBEsol.

Computed properties:
As for the crystal system: cubic. The space group is Fd-3m. As for the energy relative to the elements, uncorrected: -2564 meV/atom.

Cell: 7.363 7.363 7.363 Å, 60.00 60.00 60.00°
Element x y z (fractional)
Na (0.000, 0.000, 0.000)
Na (0.000, 0.000, 0.500)
Na (0.000, 0.500, 0.000)
Na (0.500, 0.000, 0.000)
Ta (0.000, 0.500, 0.500)
Ta (0.500, 0.000, 0.500)
Ta (0.500, 0.500, 0.000)
Ta (0.500, 0.500, 0.500)
O (0.181, 0.181, 0.569)
O (0.181, 0.569, 0.181)
O (0.181, 0.569, 0.569)
O (0.431, 0.431, 0.819)
O (0.431, 0.819, 0.431)
O (0.431, 0.819, 0.819)
O (0.569, 0.181, 0.181)
O (0.569, 0.181, 0.569)
O (0.569, 0.569, 0.181)
O (0.819, 0.431, 0.431)
O (0.819, 0.431, 0.819)
O (0.819, 0.819, 0.431)